Density functional theory data (GGA+U) for a relaxed structure of FeReO2.

E   -6.889 eV/atom
Volume   41 Å³ per cell
Symmetry   Fm-3m

Unit cell a=3.862 b=3.862 c=3.862 alpha=60.00 beta=60.00 gamma=60.00
Atoms (fractional coordinates):
1 O 0.250 0.250 0.250
2 O 0.750 0.750 0.750
3 Fe 0.000 0.000 0.000
4 Re 0.500 0.500 0.500